{"formula": "SrZn3Cu", "functional": "PBE", "state": "relaxed", "formation_energy_ev_per_atom": 1.103, "vol_a3_per_atom": 45.7, "polymorph_energy_mev_per_atom": 1282, "lattice_angstrom": [[6.115, 0.000, 0.000], [0.000, 6.115, 0.000], [0.000, 0.000, 6.115]], "species": ["Sr", "Zn", "Zn", "Zn", "Cu"], "frac_coords": [[0.000, 0.000, 0.000], [0.000, 0.000, 0.500], [0.000, 0.500, 0.000], [0.500, 0.000, 0.000], [0.500, 0.500, 0.500]]}

---

{"formula": "PrNdAl", "functional": "PBE", "state": "relaxed", "formation_energy_ev_per_atom": -0.026, "vol_a3_per_atom": 33.3, "polymorph_energy_mev_per_atom": 185, "lattice_angstrom": [[0.000, 3.684, 3.684], [3.684, 0.000, 3.684], [3.684, 3.684, 0.000]], "species": ["Pr", "Nd", "Al"], "frac_coords": [[0.000, 0.000, 0.000], [0.500, 0.500, 0.500], [0.750, 0.750, 0.750]]}

---

{"formula": "CrHRh2Au", "functional": "PBE", "state": "relaxed", "total_energy_ev_per_atom": -6.188, "vol_a3_per_atom": 12.4, "lattice_angstrom": [[3.947, 0.000, 0.000], [0.000, 3.947, 0.000], [0.000, 0.000, 3.972]], "species": ["Cr", "H", "Rh", "Rh", "Au"], "frac_coords": [[0.000, 0.000, 0.000], [0.000, 0.000, 0.500], [0.000, 0.500, 0.500], [0.500, 0.000, 0.500], [0.500, 0.500, 0.000]]}

---

{"formula": "LaDyTmAl", "functional": "PBE", "state": "relaxed", "formation_energy_ev_per_atom": -0.189, "vol_a3_per_atom": 28.6, "polymorph_energy_mev_per_atom": 0, "lattice_angstrom": [[3.532, 0.000, 0.000], [0.000, 3.532, 0.000], [0.000, 0.000, 9.162]], "species": ["La", "Dy", "Tm", "Al"], "frac_coords": [[0.000, 0.000, 0.000], [0.500, 0.500, 0.701], [0.500, 0.500, 0.291], [0.000, 0.000, 0.493]]}

---

{"formula": "La5CePmTm2", "functional": "PBE", "state": "relaxed", "formation_energy_ev_per_atom": 0.282, "vol_a3_per_atom": 35.4, "lattice_angstrom": [[8.271, 0.000, 0.000], [0.000, 8.271, 0.000], [0.000, 0.000, 9.325]], "species": ["La", "La", "La", "La", "La", "La", "La", "La", "La", "La", "Ce", "Ce", "Pm", "Pm", "Tm", "Tm", "Tm", "Tm"], "frac_coords": [[0.000, 0.000, 0.000], [0.190, 0.310, 0.272], [0.190, 0.310, 0.728], [0.310, 0.810, 0.272], [0.310, 0.810, 0.728], [0.500, 0.500, 0.000], [0.690, 0.190, 0.272], [0.690, 0.190, 0.728], [0.810, 0.690, 0.272], [0.810, 0.690, 0.728], [0.000, 0.500, 0.500], [0.500, 0.000, 0.500], [0.000, 0.000, 0.500], [0.500, 0.500, 0.500], [0.128, 0.628, 0.000], [0.372, 0.128, 0.000], [0.628, 0.872, 0.000], [0.872, 0.372, 0.000]]}

---

{"formula": "Na4LiNp3S8", "functional": "PBE", "state": "relaxed", "formation_energy_uncorrected_ev_per_atom": -1.333, "vol_a3_per_atom": 22.6, "lattice_angstrom": [[3.977, 2.296, 6.594], [-3.977, 2.296, 6.594], [0.000, -4.592, 6.594]], "species": ["Na", "Na", "Na", "Na", "Li", "Np", "Np", "Np", "S", "S", "S", "S", "S", "S", "S", "S"], "frac_coords": [[0.000, 0.000, 0.000], [0.000, 0.500, 0.500], [0.500, 0.000, 0.500], [0.500, 0.500, 0.000], [0.500, 0.500, 0.500], [0.000, 0.000, 0.500], [0.000, 0.500, 0.000], [0.500, 0.000, 0.000], [0.233, 0.744, 0.744], [0.243, 0.243, 0.243], [0.256, 0.256, 0.767], [0.256, 0.767, 0.256], [0.744, 0.233, 0.744], [0.744, 0.744, 0.233], [0.757, 0.757, 0.757], [0.767, 0.256, 0.256]]}

---

{"formula": "PuGa12Rh6", "functional": "PBE", "state": "relaxed", "formation_energy_ev_per_atom": -0.497, "vol_a3_per_atom": 17.0, "lattice_angstrom": [[5.724, 3.305, 2.839], [-5.724, 3.305, 2.839], [0.000, -6.610, 2.839]], "species": ["Pu", "Ga", "Ga", "Ga", "Ga", "Ga", "Ga", "Ga", "Ga", "Ga", "Ga", "Ga", "Ga", "Rh", "Rh", "Rh", "Rh", "Rh", "Rh"], "frac_coords": [[0.000, 0.000, 0.000], [0.116, 0.500, 0.884], [0.116, 0.884, 0.500], [0.133, 0.401, 0.401], [0.401, 0.133, 0.401], [0.401, 0.401, 0.133], [0.500, 0.116, 0.884], [0.500, 0.884, 0.116], [0.599, 0.599, 0.867], [0.599, 0.867, 0.599], [0.867, 0.599, 0.599], [0.884, 0.116, 0.500], [0.884, 0.500, 0.116], [0.276, 0.276, 0.693], [0.276, 0.693, 0.276], [0.307, 0.724, 0.724], [0.693, 0.276, 0.276], [0.724, 0.307, 0.724], [0.724, 0.724, 0.307]]}

---

{"formula": "Sr3Nd2Cd3", "functional": "PBE", "state": "relaxed", "formation_energy_ev_per_atom": -0.225, "vol_a3_per_atom": 34.2, "lattice_angstrom": [[-1.990, 2.882, 11.931], [1.990, -2.882, 11.931], [1.990, 2.882, -11.931]], "species": ["Sr", "Sr", "Sr", "Nd", "Nd", "Cd", "Cd", "Cd"], "frac_coords": [[0.000, 0.000, 0.000], [0.379, 0.879, 0.500], [0.621, 0.121, 0.500], [0.233, 0.233, 0.000], [0.767, 0.767, 0.000], [0.125, 0.625, 0.500], [0.500, 0.500, 0.000], [0.875, 0.375, 0.500]]}